Below is a relaxed Mn2InSb2 crystal, with properties calculated at the PBE-GGA level.

abc: 7.4098 7.4098 3.2596
angles: 90.00 90.00 90.00
Positions (direct):
Sb1 0.1515 0.6515 0.5000
Sb2 0.8485 0.3485 0.5000
Mn1 0.8576 0.6424 0.0000
Sb3 0.6515 0.8485 0.5000
Mn2 0.1424 0.3576 0.0000
Sb4 0.3485 0.1515 0.5000
Mn3 0.3576 0.8576 0.0000
In1 0.0000 0.0000 0.0000
Mn4 0.6424 0.1424 0.0000
In2 0.5000 0.5000 0.0000

Calculated values
Density of states at the Fermi level = 8.64 states/eV/f.u.
Formation energy (no corrections) = 400 meV per atom
Size of the total moment = 0.00 Bohr magnetons per cell